Tb4GeBr5 | PBE | relaxed

space-group type: C2/m
raw formation energy: -1.4738 eV per atom
calculated total energy: -46.2 eV/cell
spin magnetization: 0.00 μB per formula unit

a = 4.0700 Å, b = 8.4393 Å, c = 9.3197 Å
α = 102.23°, β = 102.61°, γ = 90.00°
With the nearest neighbours (Å) after each atom.
Fractional coordinates of all 10 atoms:
Br 0.5000 0.5000 0.0000  4 Tb 3.09
Tb 0.9994 0.7756 0.9988  2 Ge 2.78, 4 Br 2.96-3.09
Tb 0.6528 0.0781 0.3056  1 Ge 2.71, 4 Br 2.90-2.96
Br 0.8280 0.1641 0.6561  4 Tb 2.96-3.11
Ge 0.5000 0.0000 0.0000  6 Tb 2.71-2.78
Br 0.1667 0.3282 0.3334  3 Tb 2.90-2.96
Br 0.1720 0.8359 0.3439  4 Tb 2.96-3.11
Br 0.8333 0.6718 0.6666  3 Tb 2.90-2.96
Tb 0.0006 0.2244 0.0012  2 Ge 2.78, 4 Br 2.96-3.09
Tb 0.3472 0.9219 0.6944  1 Ge 2.71, 4 Br 2.90-2.96



DyNi2B2C | PBE | relaxed

space-group type: I4/mmm
energy relative to the elements: -516 meV/atom
calculated total energy: -41.8 eV/cell
spin magnetization: 0.00 μB per formula unit

a = 5.7645 Å, b = 5.7645 Å, c = 5.7645 Å
α = 144.21°, β = 144.21°, γ = 51.51°
With the nearest neighbours (Å) after each atom.
Fractional coordinates of all 6 atoms:
Ni 0.7500 0.2500 0.5000  4 B 2.09
Ni 0.2500 0.7500 0.5000  4 B 2.09
C 0.5000 0.5000 0.0000  2 B 1.49
Dy 0.0000 0.0000 0.0000  4 C 2.50
B 0.3564 0.3564 0.0000  1 C 1.49
B 0.6436 0.6436 0.0000  1 C 1.49



Mg2Mn2Tl | PBE | relaxed

excess energy over the best structure of this formula in the dataset: 1.9 kJ/mol of atoms
space-group type: P4/mbm
energy relative to the elements: 386 meV/atom
calculated total energy: -43.9 eV/cell
spin magnetization: 7.29 μB per formula unit

a = 7.7761 Å, b = 7.7761 Å, c = 3.2408 Å
α = 90.00°, β = 90.00°, γ = 90.00°
With the nearest neighbours (Å) after each atom.
Fractional coordinates of all 10 atoms:
Tl 0.5000 0.5000 0.0000  4 Mg 2.99, 2 Tl 3.24
Tl 0.0000 0.0000 0.0000  4 Mg 2.99, 2 Tl 3.24
Mn 0.1468 0.6468 0.5000  6 Mg 2.78-2.82
Mg 0.1435 0.3565 0.0000  6 Mn 2.78-2.82, 2 Tl 2.99
Mn 0.8532 0.3532 0.5000  6 Mg 2.78-2.82
Mg 0.8565 0.6435 0.0000  6 Mn 2.78-2.82, 2 Tl 2.99
Mn 0.6468 0.8532 0.5000  6 Mg 2.78-2.82
Mg 0.6435 0.1435 0.0000  6 Mn 2.78-2.82, 2 Tl 2.99
Mg 0.3565 0.8565 0.0000  6 Mn 2.78-2.82, 2 Tl 2.99
Mn 0.3532 0.1468 0.5000  6 Mg 2.78-2.82



Si5Pt12 | PBE | relaxed

excess energy over the best structure of this formula in the dataset: 2.4 kJ/mol of atoms
space-group type: I4/m
raw formation energy: -0.5758 eV per atom
calculated total energy: -109.4 eV/cell
spin magnetization: 0.00 μB per formula unit

a = 7.3308 Å, b = 7.3308 Å, c = 7.3308 Å
α = 98.33°, β = 98.33°, γ = 135.24°
With the nearest neighbours (Å) after each atom.
Fractional coordinates of all 17 atoms:
Pt 0.3719 0.0757 0.9473  3 Si 2.42-2.68
Pt 0.4246 0.3719 0.2963  3 Si 2.42-2.68
Si 0.1951 0.5787 0.7738  6 Pt 2.42-2.68
Si 0.0000 0.0000 0.0000  8 Pt 2.47
Pt 0.6281 0.9243 0.0527  3 Si 2.42-2.68
Pt 0.9243 0.8716 0.2963  3 Si 2.42-2.68
Pt 0.0757 0.1284 0.7037  3 Si 2.42-2.68
Si 0.5787 0.8049 0.3836  6 Pt 2.42-2.68
Si 0.8049 0.4213 0.2262  6 Pt 2.42-2.68
Pt 0.5754 0.6281 0.7037  3 Si 2.42-2.68
Pt 0.8716 0.5754 0.9473  3 Si 2.42-2.68
Pt 0.3670 0.9434 0.3104  2 Si 2.43-2.47
Pt 0.6330 0.0566 0.6896  2 Si 2.43-2.47
Si 0.4213 0.1951 0.6164  6 Pt 2.42-2.68
Pt 0.9434 0.6330 0.5764  2 Si 2.43-2.47
Pt 0.0566 0.3670 0.4236  2 Si 2.43-2.47
Pt 0.1284 0.4246 0.0527  3 Si 2.42-2.68



BeAlHRh2 | PBE | relaxed

space-group type: P4/mmm
calculated total energy: -28.4 eV/cell
spin magnetization: 0.00 μB per formula unit

a = 4.0289 Å, b = 4.0289 Å, c = 3.1899 Å
α = 90.00°, β = 90.00°, γ = 90.00°
With the nearest neighbours (Å) after each atom.
Fractional coordinates of all 5 atoms:
Rh 0.0000 0.5000 0.0000  2 H 2.01
H 0.0000 0.0000 0.0000  2 Be 1.59
Al 0.5000 0.5000 0.5000  8 Rh 2.57, 4 Be 2.85
Be 0.0000 0.0000 0.5000  2 H 1.59
Rh 0.5000 0.0000 0.0000  2 H 2.01



YErMg2 | PBE | relaxed

excess energy over the best structure of this formula in the dataset: 0.0 kJ/mol of atoms
space-group type: Fm-3m
energy relative to the elements: -91 meV/atom
calculated total energy: -14.6 eV/cell
spin magnetization: 0.00 μB per formula unit

a = 5.3504 Å, b = 5.3504 Å, c = 5.3504 Å
α = 60.00°, β = 60.00°, γ = 60.00°
With the nearest neighbours (Å) after each atom.
Fractional coordinates of all 4 atoms:
Mg 0.7500 0.7500 0.7500  4 Y 3.28, 4 Er 3.28
Mg 0.2500 0.2500 0.2500  4 Er 3.28, 4 Y 3.28
Er 0.0000 0.0000 0.0000  8 Mg 3.28
Y 0.5000 0.5000 0.5000  8 Mg 3.28



Tb5In2Hg2 | PBE | relaxed

space-group type: Cmce
energy relative to the elements: -371 meV/atom
calculated total energy: -65.1 eV/cell
spin magnetization: 0.00 μB per formula unit

a = 7.2821 Å, b = 8.6432 Å, c = 9.2701 Å
α = 117.79°, β = 90.00°, γ = 90.00°
With the nearest neighbours (Å) after each atom.
Fractional coordinates of all 18 atoms:
Tb 0.1600 0.1727 0.7197  2 Hg 3.09-3.17, 3 In 3.16-3.17
Tb 0.0000 0.0000 0.0000  4 Hg 3.04-3.21
Tb 0.3400 0.6727 0.7197  2 Hg 3.09-3.17, 3 In 3.16-3.17
In 0.0000 0.7896 0.5791  7 Tb 3.16-3.45
Tb 0.5000 0.5000 0.0000  4 Hg 3.04-3.21
Hg 0.8813 0.3576 0.0000  1 Hg 3.01, 6 Tb 3.04-3.21
Tb 0.6600 0.3273 0.2803  2 Hg 3.09-3.17, 3 In 3.16-3.17
Tb 0.8400 0.5471 0.7197  2 Hg 3.09-3.17, 3 In 3.16-3.17
Hg 0.1187 0.6424 0.0000  1 Hg 3.01, 6 Tb 3.04-3.21
Hg 0.6187 0.8576 0.0000  1 Hg 3.01, 6 Tb 3.04-3.21
Tb 0.3400 0.9529 0.2803  2 Hg 3.09-3.17, 3 In 3.16-3.17
In 0.0000 0.2104 0.4209  7 Tb 3.16-3.45
Tb 0.1600 0.4529 0.2803  2 Hg 3.09-3.17, 3 In 3.16-3.17
Hg 0.3813 0.1424 0.0000  1 Hg 3.01, 6 Tb 3.04-3.21
Tb 0.6600 0.0471 0.7197  2 Hg 3.09-3.17, 3 In 3.16-3.17
Tb 0.8400 0.8273 0.2803  2 Hg 3.09-3.17, 3 In 3.16-3.17
In 0.5000 0.2896 0.5791  7 Tb 3.16-3.45
In 0.5000 0.7104 0.4209  7 Tb 3.16-3.45



Tb2Pd2O7 | PBE | relaxed

excess energy over the best structure of this formula in the dataset: 41.2 kJ/mol of atoms
space-group type: C2/m
raw formation energy: -1.4803 eV per atom
calculated total energy: -70.6 eV/cell
spin magnetization: 0.00 μB per formula unit

a = 5.4764 Å, b = 4.7573 Å, c = 5.4766 Å
α = 87.77°, β = 103.79°, γ = 92.22°
With the nearest neighbours (Å) after each atom.
Fractional coordinates of all 11 atoms:
Tb 0.2487 0.5000 0.2487  2 O 2.13
O 0.0000 0.0000 0.0000  2 Pd 2.12
O 0.5475 0.7606 0.4526  1 Pd 1.98, 2 Tb 2.13
Pd 0.2456 0.0390 0.7544  6 O 1.98-2.15
Tb 0.7513 0.5000 0.7513  2 O 2.13
O 0.4841 0.7473 0.9577  2 Pd 2.05-2.15
O 0.4525 0.2394 0.5474  1 Pd 1.98, 2 Tb 2.13
O 0.5159 0.2527 0.0423  2 Pd 2.05-2.15
O 0.9577 0.2527 0.4841  2 Pd 2.05-2.15
O 0.0423 0.7473 0.5159  2 Pd 2.05-2.15
Pd 0.7544 0.9610 0.2456  6 O 1.98-2.15



Ba3Li2MgAg6 | PBE | relaxed

space-group type: P-3m1
energy relative to the elements: -123 meV/atom
calculated total energy: -29.8 eV/cell
spin magnetization: 0.00 μB per formula unit

a = 6.7530 Å, b = 6.7530 Å, c = 8.9532 Å
α = 90.00°, β = 90.00°, γ = 120.00°
With the nearest neighbours (Å) after each atom.
Fractional coordinates of all 12 atoms:
Ag 0.8109 0.1891 0.7132  1 Li 2.75, 1 Mg 2.92, 2 Ag 2.92
Ag 0.1891 0.8109 0.2868  1 Li 2.75, 1 Mg 2.92, 2 Ag 2.92
Ag 0.1891 0.3782 0.2868  1 Li 2.75, 1 Mg 2.92, 2 Ag 2.92
Ba 0.0000 0.0000 0.0000  6 Ag 3.39
Ag 0.6218 0.8109 0.2868  1 Li 2.75, 1 Mg 2.92, 2 Ag 2.92
Mg 0.0000 0.0000 0.5000  6 Ag 2.92
Ba 0.6667 0.3333 0.3723  9 Ag 3.47-3.49, 1 Li 3.73
Li 0.3333 0.6667 0.0438  3 Ag 2.75
Li 0.6667 0.3333 0.9562  3 Ag 2.75
Ag 0.8109 0.6218 0.7132  1 Li 2.75, 1 Mg 2.92, 2 Ag 2.92
Ag 0.3782 0.1891 0.7132  1 Li 2.75, 1 Mg 2.92, 2 Ag 2.92
Ba 0.3333 0.6667 0.6277  9 Ag 3.47-3.49, 1 Li 3.73



PrPt2Au10 | PBE | relaxed

space-group type: Fmmm
energy relative to the elements: -218 meV/atom
calculated total energy: -52.5 eV/cell
spin magnetization: 0.00 μB per formula unit

a = 5.6668 Å, b = 7.1668 Å, c = 7.3382 Å
α = 81.22°, β = 67.29°, γ = 66.71°
With the nearest neighbours (Å) after each atom.
Fractional coordinates of all 13 atoms:
Pr 0.0000 0.0000 0.0000  12 Au 3.23-3.48, 4 Pt 3.58
Au 0.3425 0.6511 0.6640  2 Pt 2.86, 7 Au 2.92-3.18
Au 0.7145 0.7840 0.7870  2 Pt 2.75, 7 Au 2.79-3.08
Au 0.0000 0.0000 0.5000  10 Au 2.79-2.92
Au 0.5015 0.7840 0.2130  2 Pt 2.75, 7 Au 2.79-3.08
Au 0.5000 0.0000 0.5000  10 Au 2.79-2.92
Au 0.6575 0.3489 0.3360  2 Pt 2.86, 7 Au 2.92-3.18
Pt 0.5000 0.5000 0.0000  8 Au 2.75-2.86, 2 Pt 2.83
Au 0.2855 0.2160 0.2130  2 Pt 2.75, 7 Au 2.79-3.08
Au 0.9936 0.3489 0.6640  2 Pt 2.86, 7 Au 2.92-3.18
Au 0.4985 0.2160 0.7870  2 Pt 2.75, 7 Au 2.79-3.08
Au 0.0064 0.6511 0.3360  2 Pt 2.86, 7 Au 2.92-3.18
Pt 0.0000 0.5000 0.0000  8 Au 2.75-2.86, 2 Pt 2.83



LuScSnHg | PBE | relaxed

space-group type: F-43m
energy relative to the elements: -476 meV/atom
calculated total energy: -17.1 eV/cell
spin magnetization: 0.00 μB per formula unit

a = 5.1104 Å, b = 5.1104 Å, c = 5.1104 Å
α = 60.00°, β = 60.00°, γ = 60.00°
With the nearest neighbours (Å) after each atom.
Fractional coordinates of all 4 atoms:
Sc 0.5000 0.5000 0.5000  4 Hg 3.13, 4 Sn 3.13
Sn 0.2500 0.2500 0.2500  4 Sc 3.13, 4 Lu 3.13
Hg 0.7500 0.7500 0.7500  4 Lu 3.13, 4 Sc 3.13
Lu 0.0000 0.0000 0.0000  4 Sn 3.13, 4 Hg 3.13



ZnTc2Te | PBE | relaxed

excess energy over the best structure of this formula in the dataset: 18.4 kJ/mol of atoms
space-group type: C2/m
raw formation energy: 0.3692 eV per atom
calculated total energy: -23.7 eV/cell
spin magnetization: 0.00 μB per formula unit

a = 4.4841 Å, b = 4.4841 Å, c = 5.1527 Å
α = 78.15°, β = 78.15°, γ = 40.82°
With the nearest neighbours (Å) after each atom.
Fractional coordinates of all 4 atoms:
Tc 0.0000 0.0000 0.0222  3 Zn 2.62-2.68, 3 Te 2.75-2.77, 2 Tc 2.82
Tc 0.5000 0.5000 0.4778  3 Zn 2.62-2.68, 3 Te 2.75-2.77, 2 Tc 2.82
Zn 0.2500 0.2500 0.2500  6 Tc 2.62-2.68
Te 0.7500 0.7500 0.7500  6 Tc 2.75-2.77, 4 Zn 3.01